[1]
This record from Alexandria via LeMat-Bulk describes a relaxed LiAgF4 crystal. The functional is GGA-PBE.

Summary:
formation energy without anion corrections = -1.66 eV per atom
M_tot = 0.000 μB per atom
crystal system = monoclinic
E_tot = -3.700 eV per atom
ΔE to the lowest computed polymorph = 39 meV/atom
volume = 83.10 Å³/f.u.

```
12
Lattice="-2.235 -3.664 3.915 0.715 -5.749 0.431 5.063 1.109 3.623" Properties=species:S:1:pos:R:3 pbc="T T T"
F -0.783 -5.698 4.555
F 3.223 -6.186 4.624
F 2.356 -4.148 2.670
F 0.319 -2.119 3.345
F 3.412 -2.551 6.223
Li -1.118 -1.832 1.958
Ag 3.774 -4.396 4.019
F 4.325 -2.607 3.415
F 0.130 -5.754 1.746
Ag -0.232 -3.908 3.950
Li 2.889 -2.320 2.027
F 1.186 -4.157 5.300
```



[2]
This record from Alexandria via LeMat-Bulk describes a relaxed TeMoSe4 crystal. The functional is GGA-PBE.

Summary:
formation energy without anion corrections = -0.20 eV per atom
M_tot = 0.000 μB per atom
crystal system = monoclinic
E_tot = -4.856 eV per atom
ΔE to the lowest computed polymorph = 0 meV/atom
volume = 151.48 Å³/f.u.

```
12
Lattice="6.139 0.011 1.108 2.470 6.577 3.951 0.211 0.248 7.679" Properties=species:S:1:pos:R:3 pbc="T T T"
Se 5.292 5.032 5.902
Se 2.764 1.271 2.233
Te 5.658 2.759 3.816
Se 6.333 2.382 8.857
Mo 4.816 0.258 8.506
Se 3.528 1.804 6.836
Se 0.582 0.534 5.630
Se 8.238 6.302 7.108
Te 3.162 4.077 8.922
Se 6.056 5.565 10.505
Mo 4.004 6.578 4.231
Se 2.487 4.454 3.881
```



[3]
This record from Alexandria via LeMat-Bulk describes a relaxed SrScCr2 crystal. The functional is GGA-PBE.

Summary:
M_tot = 0.000 μB per atom
crystal system = orthorhombic
calculated formation energy = 637 meV/atom
E_tot = -6.178 eV per atom
ΔE to the lowest computed polymorph = 168 meV/atom
volume = 93.27 Å³/f.u.

```
4
Lattice="-1.991 -2.036 1.676 3.055 -2.967 0.025 2.318 2.434 5.712" Properties=species:S:1:pos:R:3 pbc="T T T"
Sc 1.111 -1.893 2.278
Cr 0.904 0.949 2.228
Sr 2.270 -0.676 5.134
Cr 0.255 0.268 0.628
```



[4]
This record from Alexandria via LeMat-Bulk describes a relaxed Li2NdPb crystal. The functional is GGA-PBE.

Summary:
M_tot = 0.001 μB per atom
crystal system = tetragonal
calculated formation energy = -251 meV/atom
E_tot = -3.327 eV per atom
volume = 103.51 Å³/f.u.

```
4
Lattice="-3.259 -3.635 -0.945 -0.079 -1.082 4.432 -3.445 2.920 0.651" Properties=species:S:1:pos:R:3 pbc="T T T"
Nd -3.391 -0.898 2.069
Li -0.039 -0.541 2.216
Pb -1.629 -1.817 -0.472
Li -1.723 1.460 0.326
```



[5]
This record from Alexandria via LeMat-Bulk describes a relaxed PmHoZnAu crystal. The functional is GGA-PBE.

Summary:
M_tot = 0.000 μB per atom
crystal system = tetragonal
calculated formation energy = -583 meV/atom
E_tot = -4.053 eV per atom
ΔE to the lowest computed polymorph = 0 meV/atom
volume = 94.89 Å³/f.u.

```
4
Lattice="3.633 0.000 0.000 0.000 3.633 0.000 0.000 0.000 7.189" Properties=species:S:1:pos:R:3 pbc="T T T"
Zn 0.000 0.000 6.268
Ho 1.817 1.817 0.774
Pm 1.817 1.817 4.397
Au 0.000 0.000 2.421
```



[6]
This record from Alexandria via LeMat-Bulk describes a relaxed TbCuAg4 crystal. The functional is GGA-PBE.

Summary:
M_tot = 0.000 μB per atom
crystal system = cubic
calculated formation energy = -7 meV/atom
E_tot = -3.362 eV per atom
volume = 117.93 Å³/f.u.

```
6
Lattice="-2.080 5.035 0.786 -5.031 1.222 -1.868 -4.146 0.743 3.543" Properties=species:S:1:pos:R:3 pbc="T T T"
Ag -7.041 4.379 1.539
Tb -2.814 1.750 0.615
Ag -4.960 4.006 -0.239
Cu 0.000 0.000 0.000
Ag -4.516 3.765 2.477
Ag -5.997 1.851 1.145
```



[7]
This record from Alexandria via LeMat-Bulk describes a relaxed IrPtPb2O crystal. The functional is GGA-PBE.

Summary:
formation energy without anion corrections = -0.07 eV per atom
M_tot = 0.000 μB per atom
crystal system = monoclinic
E_tot = -5.527 eV per atom
ΔE to the lowest computed polymorph = 97 meV/atom
volume = 113.51 Å³/f.u.

```
10
Lattice="7.609 0.000 0.013 0.000 4.394 0.000 -3.136 0.000 6.785" Properties=species:S:1:pos:R:3 pbc="T T T"
Ir 6.478 0.000 0.659
Pb 4.181 2.197 0.942
Pt 5.029 0.000 2.691
O -0.687 2.197 4.259
Pb 0.473 2.197 2.078
O 0.880 0.000 0.867
Pt 3.461 2.197 6.083
Pb 2.613 0.000 4.334
Ir 4.911 2.197 4.051
Pb -1.095 0.000 5.470
```



[8]
This record from Alexandria via LeMat-Bulk describes a relaxed AgPOs2 crystal. The functional is GGA-PBE.

Summary:
M_tot = 0.000 μB per atom
crystal system = tetragonal
calculated formation energy = 837 meV/atom
E_tot = -6.843 eV per atom
volume = 59.16 Å³/f.u.

```
4
Lattice="4.686 -0.056 0.000 1.374 4.480 0.000 -3.030 -2.212 2.808" Properties=species:S:1:pos:R:3 pbc="T T T"
Ag 2.343 -0.028 1.404
P 3.030 2.212 0.000
Os 0.687 2.240 1.404
Os 0.000 0.000 0.000
```



[9]
This record from Alexandria via LeMat-Bulk describes a relaxed AlVTcOs crystal. The functional is GGA-PBE.

Summary:
M_tot = 0.000 μB per atom
crystal system = cubic
calculated formation energy = -444 meV/atom
E_tot = -9.058 eV per atom
volume = 55.41 Å³/f.u.

```
4
Lattice="4.279 0.000 0.000 2.140 3.706 0.000 2.140 1.235 3.494" Properties=species:S:1:pos:R:3 pbc="T T T"
Os 2.140 1.235 0.874
Tc 6.419 3.706 2.621
V 4.279 2.471 1.747
Al 0.000 0.000 0.000
```



[10]
This record from Alexandria via LeMat-Bulk describes a relaxed Ca4Nd9Hg11 crystal. The functional is GGA-PBE.

Summary:
M_tot = 0.048 μB per atom
crystal system = orthorhombic
calculated formation energy = -398 meV/atom
E_tot = -2.658 eV per atom
volume = 684.85 Å³/f.u.

```
24
Lattice="-3.096 1.823 -0.101 -6.243 -10.185 7.510 5.183 9.316 9.244" Properties=species:S:1:pos:R:3 pbc="T T T"
Hg -1.967 -2.888 8.159
Nd -3.537 -1.649 14.668
Nd -1.441 1.928 14.986
Nd -2.715 -0.974 1.667
Hg -2.866 -4.169 12.566
Ca -1.294 1.975 11.322
Hg 0.908 2.019 8.595
Nd -4.859 -4.162 9.829
Hg 1.237 2.833 13.188
Ca -2.862 -1.021 5.330
Ca -0.933 2.271 5.623
Hg -0.231 -0.190 3.656
Nd -2.078 0.477 8.326
Hg -2.296 -3.702 3.566
Hg -4.182 -6.668 7.823
Nd -4.618 -3.965 6.016
Hg -0.828 -0.679 13.099
Hg 1.806 3.300 4.188
Hg 0.000 0.000 0.000
Nd 0.703 5.116 6.823
Nd 0.462 4.919 10.637
Ca -3.223 -1.317 11.030
Hg 3.122 5.799 8.931
Nd -0.619 2.603 1.985
```



[11]
This record from Alexandria via LeMat-Bulk describes a relaxed YCd2Pb crystal. The functional is GGA-PBE.

Summary:
M_tot = 0.000 μB per atom
crystal system = tetragonal
calculated formation energy = -130 meV/atom
E_tot = -3.130 eV per atom
volume = 112.18 Å³/f.u.

```
8
Lattice="4.422 0.000 0.000 0.000 4.422 0.000 2.211 2.211 11.475" Properties=species:S:1:pos:R:3 pbc="T T T"
Y 2.211 4.422 5.738
Y 2.211 2.211 0.000
Pb 0.000 0.000 0.000
Cd 3.315 1.105 2.869
Cd 5.527 5.526 8.606
Cd 1.106 3.316 2.869
Cd 3.316 3.317 8.606
Pb 4.422 2.211 5.738
```



[12]
This record from Alexandria via LeMat-Bulk describes a relaxed BaSn6Au12 crystal. The functional is GGA-PBE.

Summary:
M_tot = 0.000 μB per atom
crystal system = trigonal
calculated formation energy = -154 meV/atom
E_tot = -3.589 eV per atom
volume = 442.65 Å³/f.u.

```
19
Lattice="-0.870 -1.904 -7.671 2.722 -6.639 3.425 -7.425 0.777 2.736" Properties=species:S:1:pos:R:3 pbc="T T T"
Ba 0.000 0.000 0.000
Sn -0.446 -4.995 1.006
Sn -3.621 -4.756 2.136
Sn -5.127 -2.771 -2.516
Sn -1.952 -3.010 -3.646
Au -0.237 -4.926 -4.802
Au -4.184 -2.041 -5.071
Sn -4.700 -1.886 0.717
Au -0.322 -3.107 -1.222
Au -2.826 -6.432 -0.123
Sn -0.873 -5.880 -2.227
Au -6.734 -0.999 -1.023
Au -3.685 -5.300 -2.775
Au 1.160 -6.768 -0.487
Au -5.336 -2.840 3.293
Au -1.389 -5.725 3.561
Au -1.888 -2.466 1.265
Au -2.747 -1.335 -1.387
Au -5.252 -4.659 -0.288
```



What is the volume in the ninth record?
55.41 Å³/f.u.



What is the formula in the eleventh record?
YCd2Pb